## Tl2MoF6 (PBE+U)

Data for a relaxed structure of Tl2MoF6.

* uncorrected energy: -87.257 eV per cell
* space group: No. 14
* crystal system: monoclinic
* spin magnetization: 2.00 μB/f.u.

Cell lengths 6.508, 8.033, 8.010 Å; angles 90.00, 118.92, 90.00 degrees
Positions (direct):
Tl 0.182 0.059 0.309
Tl 0.182 0.441 0.809
Tl 0.818 0.559 0.191
Tl 0.818 0.941 0.691
Mo 0.500 0.000 0.000
Mo 0.500 0.500 0.500
F 0.201 0.120 0.966
F 0.201 0.380 0.466
F 0.320 0.711 0.435
F 0.320 0.789 0.935
F 0.400 0.035 0.726
F 0.400 0.465 0.226
F 0.600 0.535 0.774
F 0.600 0.965 0.274
F 0.680 0.211 0.065
F 0.680 0.289 0.565
F 0.799 0.620 0.534
F 0.799 0.880 0.034